# 1
The following is a DFT calculation (GGA-PBE) of an optimized crystal structure of Ir2RuF.

Relative energy among the computed polymorphs   205 meV/atom
E_form (uncorrected)   597 meV per atom
Calculated density   14.5 Mg/m³

The structure in CIF format:
```
data_Ir2RuF
_chemical_formula_sum 'Ir8 Ru4 F4'
_cell_length_a 6.5190
_cell_length_b 6.5190
_cell_length_c 5.4312
_cell_angle_alpha 90.00
_cell_angle_beta 90.00
_cell_angle_gamma 90.00
_symmetry_space_group_name_H-M 'I -4 2 d'
_symmetry_Int_Tables_number 122
_symmetry_space_group_name_Hall 'I -4 2bw'
loop_
_atom_site_label
_atom_site_type_symbol
_atom_site_fract_x
_atom_site_fract_y
_atom_site_fract_z
Ir1 Ir 0.2327 0.2500 0.1250
Ru1 Ru 0.0000 0.0000 0.5000
F1 F 0.0000 0.0000 0.0000
```



# 2
The following is a DFT calculation (GGA-PBE) of an optimized crystal structure of IrRuF2.

Relative energy among the computed polymorphs   0 meV/atom
E_form (uncorrected)   -333 meV per atom
Calculated density   9.1 Mg/m³

The structure in CIF format:
```
data_IrRuF2
_chemical_formula_sum 'Ir3 Ru3 F6'
_cell_length_a 2.6316
_cell_length_b 2.6316
_cell_length_c 30.3026
_cell_angle_alpha 90.00
_cell_angle_beta 90.00
_cell_angle_gamma 120.00
_symmetry_space_group_name_H-M 'R -3 m'
_symmetry_Int_Tables_number 166
_symmetry_space_group_name_Hall '-R 3 2"'
loop_
_atom_site_label
_atom_site_type_symbol
_atom_site_fract_x
_atom_site_fract_y
_atom_site_fract_z
Ir1 Ir 0.0000 0.0000 0.0000
Ru1 Ru 0.0000 0.0000 0.5000
F1 F 0.0000 0.0000 0.4379
```



# 3
The following is a DFT calculation (GGA-PBE) of an optimized crystal structure of SbIrRuF2.

E_form (uncorrected)   -373 meV per atom
Calculated density   8.9 Mg/m³

The structure in CIF format:
```
data_SbIrRuF2
_chemical_formula_sum 'Sb1 Ir1 Ru1 F2'
_cell_length_a 3.9248
_cell_length_b 3.9248
_cell_length_c 5.4839
_cell_angle_alpha 90.00
_cell_angle_beta 90.00
_cell_angle_gamma 90.00
_symmetry_space_group_name_H-M 'P 4/m m m'
_symmetry_Int_Tables_number 123
_symmetry_space_group_name_Hall '-P 4 2'
loop_
_atom_site_label
_atom_site_type_symbol
_atom_site_fract_x
_atom_site_fract_y
_atom_site_fract_z
Sb1 Sb 0.0000 0.0000 0.0000
Ir1 Ir 0.5000 0.5000 0.0000
Ru1 Ru 0.5000 0.5000 0.5000
F1 F 0.0000 0.5000 0.5000
```



# 4
The following is a DFT calculation (GGA-PBE) of an optimized crystal structure of Tc2IrRuF.

E_form (uncorrected)   1005 meV per atom
Calculated density   11.9 Mg/m³

The structure in CIF format:
```
data_Tc2IrRuF
_chemical_formula_sum 'Tc2 Ir1 Ru1 F1'
_cell_length_a 4.0444
_cell_length_b 4.0444
_cell_length_c 4.3542
_cell_angle_alpha 90.00
_cell_angle_beta 90.00
_cell_angle_gamma 90.00
_symmetry_space_group_name_H-M 'P 4/m m m'
_symmetry_Int_Tables_number 123
_symmetry_space_group_name_Hall '-P 4 2'
loop_
_atom_site_label
_atom_site_type_symbol
_atom_site_fract_x
_atom_site_fract_y
_atom_site_fract_z
Tc1 Tc 0.0000 0.5000 0.0000
Ir1 Ir 0.0000 0.0000 0.5000
Ru1 Ru 0.5000 0.5000 0.5000
F1 F 0.0000 0.0000 0.0000
```